# HfNbW3 | Alexandria | PBE | optimized geometry
# Magnetization, μB per formula unit: 0.00
# DFT total energy, eV/atom: -9.89
# V, A^3/atom: 21.61
# E above lowest polymorph, eV/atom: 0.000
# DFT formation energy, eV per atom: 1.89
# Calculated density, kg/m3: 12649
data_HfNbW3
_cell_length_a 4.7626
_cell_length_b 4.7626
_cell_length_c 4.7626
_cell_angle_alpha 90.00
_cell_angle_beta 90.00
_cell_angle_gamma 90.00
_space_group_name_H-M_alt 'P 1'
_space_group_IT_number 1
loop_
_space_group_symop_operation_xyz
'x,y,z'
loop_
_atom_site_label
_atom_site_fract_x
_atom_site_fract_y
_atom_site_fract_z
_atom_site_occupancy
W1 0.0000 0.5000 0.0000 1
W2 0.5000 0.0000 0.0000 1
W3 0.0000 0.0000 0.5000 1
Nb1 0.0000 0.0000 0.0000 1
Hf1 0.5000 0.5000 0.5000 1